# 1
TlPtW3 GGA-PBE optimized geometry; magnetization = 0.000 μB/f.u.; final energy = -6.1899 eV per atom; Fermi-level density of states = 2.512 states/eV/cell; formation energy from the elements = 3.26 eV per atom; ΔE to the lowest computed polymorph = 1194 meV/atom
1.0
4.8759 0.0000 0.0000
0.0000 4.8759 0.0000
0.0000 0.0000 4.8759
Tl Pt W
1 1 3
Direct
0.0000 0.0000 0.0000 Tl
0.5000 0.5000 0.5000 Pt
0.0000 0.0000 0.5000 W
0.0000 0.5000 0.0000 W
0.5000 0.0000 0.0000 W

=====

# 2
YTlPt2W GGA-PBE optimized geometry; magnetization = 0.001 μB/f.u.; final energy = -4.9323 eV per atom; Fermi-level density of states = 5.878 states/eV/cell; formation energy from the elements = 1.84 eV per atom
1.0
4.9577 0.0000 0.0000
0.0000 4.9577 0.0000
0.0000 0.0000 5.4378
Y Tl Pt W
1 1 2 1
Direct
0.0000 0.0000 0.0000 Y
0.0000 0.0000 0.5000 Tl
0.0000 0.5000 0.0000 Pt
0.5000 0.0000 0.0000 Pt
0.5000 0.5000 0.5000 W

=====

# 3
Y3TlPt2 GGA-PBE optimized geometry; magnetization = 0.000 μB/f.u.; final energy = -6.5738 eV per atom; Fermi-level density of states = 2.575 states/eV/cell; formation energy from the elements = -0.93 eV per atom
1.0
3.5484 0.0000 0.0000
0.0000 3.5484 0.0000
0.0000 0.0000 11.1963
Y Tl Pt
3 1 2
Direct
0.0000 0.0000 0.0000 Y
0.0000 0.0000 0.3066 Y
0.0000 0.0000 0.6934 Y
0.5000 0.5000 0.5000 Tl
0.5000 0.5000 0.1594 Pt
0.5000 0.5000 0.8406 Pt

=====

# 4
Y6TlPt2 GGA-PBE optimized geometry; magnetization = 0.000 μB/f.u.; final energy = -6.6331 eV per atom; Fermi-level density of states = 17.319 states/eV/cell; formation energy from the elements = -0.72 eV per atom
1.0
-4.7343 4.9161 5.2494
4.7343 -4.9161 5.2494
4.7343 4.9161 -5.2494
Y Tl Pt
12 2 4
Direct
0.0329 0.2355 0.7974 Y
0.1825 0.2915 0.4740 Y
0.1825 0.7085 0.8910 Y
0.3307 0.0281 0.6974 Y
0.3307 0.6333 0.3026 Y
0.4382 0.2355 0.2026 Y
0.5618 0.7645 0.7974 Y
0.6693 0.3667 0.6974 Y
0.6693 0.9719 0.3026 Y
0.8175 0.2915 0.1090 Y
0.8175 0.7085 0.5260 Y
0.9671 0.7645 0.2026 Y
0.0000 0.0000 0.0000 Tl
0.5000 0.5000 0.0000 Tl
0.1347 0.6347 0.5000 Pt
0.3424 0.0000 0.3424 Pt
0.6576 0.0000 0.6576 Pt
0.8653 0.3653 0.5000 Pt

=====

# 5
Y2TlPt2 GGA-PBE optimized geometry; magnetization = 0.000 μB/f.u.; final energy = -6.1827 eV per atom; Fermi-level density of states = 6.271 states/eV/cell; formation energy from the elements = -0.71 eV per atom
1.0
3.8790 0.0000 0.0000
0.0000 3.8790 0.0000
0.0000 0.0000 16.5334
Y Tl Pt
4 2 4
Direct
0.0000 0.0000 0.1222 Y
0.0000 0.0000 0.8778 Y
0.5000 0.5000 0.3778 Y
0.5000 0.5000 0.6222 Y
0.0000 0.0000 0.5000 Tl
0.5000 0.5000 0.0000 Tl
0.0000 0.5000 0.2500 Pt
0.0000 0.5000 0.7500 Pt
0.5000 0.0000 0.2500 Pt
0.5000 0.0000 0.7500 Pt

=====

# 6
Y2Tl2Pt GGA-PBE optimized geometry; magnetization = 0.000 μB/f.u.; final energy = -4.3300 eV per atom; Fermi-level density of states = 8.917 states/eV/cell; formation energy from the elements = 0.41 eV per atom; ΔE to the lowest computed polymorph = 823 meV/atom
1.0
4.3761 0.0000 0.0000
0.0000 4.3761 0.0000
0.0000 0.0000 14.2364
Y Tl Pt
4 4 2
Direct
0.0000 0.5000 0.2500 Y
0.0000 0.5000 0.7500 Y
0.5000 0.0000 0.2500 Y
0.5000 0.0000 0.7500 Y
0.0000 0.0000 0.0938 Tl
0.0000 0.0000 0.9062 Tl
0.5000 0.5000 0.4062 Tl
0.5000 0.5000 0.5938 Tl
0.0000 0.0000 0.5000 Pt
0.5000 0.5000 0.0000 Pt

=====

# 7
Y2TlPt2 GGA-PBE optimized geometry; magnetization = 0.000 μB/f.u.; final energy = -6.2484 eV per atom; Fermi-level density of states = 4.588 states/eV/cell; formation energy from the elements = -0.77 eV per atom
1.0
5.0927 0.0000 0.0000
0.0000 5.0927 0.0000
0.0000 0.0000 9.9563
Y Tl Pt
4 2 4
Direct
0.0000 0.5000 0.2500 Y
0.0000 0.5000 0.7500 Y
0.5000 0.0000 0.2500 Y
0.5000 0.0000 0.7500 Y
0.0000 0.0000 0.0000 Tl
0.5000 0.5000 0.5000 Tl
0.0000 0.0000 0.3720 Pt
0.0000 0.0000 0.6280 Pt
0.5000 0.5000 0.1280 Pt
0.5000 0.5000 0.8720 Pt

=====

# 8
Y2Tl2Pt GGA-PBE optimized geometry; magnetization = 0.000 μB/f.u.; final energy = -5.1535 eV per atom; Fermi-level density of states = 7.041 states/eV/cell; formation energy from the elements = -0.41 eV per atom; ΔE to the lowest computed polymorph = 0 meV/atom
1.0
7.4281 0.0000 0.0000
0.0000 7.4281 0.0000
0.0000 0.0000 4.5378
Y Tl Pt
4 4 2
Direct
0.1685 0.3315 0.0000 Y
0.3315 0.8315 0.0000 Y
0.6685 0.1685 0.0000 Y
0.8315 0.6685 0.0000 Y
0.1406 0.6406 0.5000 Tl
0.3594 0.1406 0.5000 Tl
0.6406 0.8594 0.5000 Tl
0.8594 0.3594 0.5000 Tl
0.0000 0.0000 0.5000 Pt
0.5000 0.5000 0.5000 Pt

=====

# 9
Y5Tl4Pt GGA-PBE optimized geometry; magnetization = 0.134 μB/f.u.; final energy = -5.3385 eV per atom; Fermi-level density of states = 4.135 states/eV/cell; formation energy from the elements = -0.56 eV per atom
1.0
3.5835 0.0000 0.0000
0.0000 3.5835 0.0000
0.0000 0.0000 20.4255
Y Tl Pt
5 4 1
Direct
0.0000 0.0000 0.0000 Y
0.0000 0.0000 0.2081 Y
0.0000 0.0000 0.4174 Y
0.0000 0.0000 0.5826 Y
0.0000 0.0000 0.7919 Y
0.5000 0.5000 0.1039 Tl
0.5000 0.5000 0.3109 Tl
0.5000 0.5000 0.6891 Tl
0.5000 0.5000 0.8961 Tl
0.5000 0.5000 0.5000 Pt

=====

# 10
Y8Tl2Pt GGA-PBE optimized geometry; magnetization = 0.000 μB/f.u.; final energy = -6.0449 eV per atom; Fermi-level density of states = 11.000 states/eV/cell; formation energy from the elements = -0.36 eV per atom; ΔE to the lowest computed polymorph = 0 meV/atom
1.0
9.5616 -2.5370 0.0000
9.5616 2.5370 0.0000
-1.5858 0.0000 6.5620
Y Tl Pt
8 2 1
Direct
0.0199 0.0199 0.2797 Y
0.2117 0.2117 0.8234 Y
0.3518 0.3518 0.5094 Y
0.4109 0.4109 0.0452 Y
0.5891 0.5891 0.9548 Y
0.6482 0.6482 0.4906 Y
0.7883 0.7883 0.1766 Y
0.9801 0.9801 0.7203 Y
0.1836 0.1836 0.2571 Tl
0.8164 0.8164 0.7429 Tl
0.5000 0.5000 0.5000 Pt

=====

# 11
Y8Tl2Pt GGA-PBE optimized geometry; magnetization = 0.008 μB/f.u.; final energy = -6.0122 eV per atom; Fermi-level density of states = 14.757 states/eV/cell; formation energy from the elements = -0.33 eV per atom; ΔE to the lowest computed polymorph = 33 meV/atom
1.0
4.4322 -8.0475 0.0000
4.4322 8.0475 0.0000
-3.7756 0.0000 4.5179
Y Tl Pt
8 2 1
Direct
0.0000 0.0000 0.0000 Y
0.2436 0.4850 0.9821 Y
0.4455 0.8361 0.6931 Y
0.4850 0.2436 0.9821 Y
0.5050 0.5050 0.6964 Y
0.7529 0.9847 0.3724 Y
0.8361 0.4455 0.6931 Y
0.9847 0.7529 0.3724 Y
0.3422 0.9467 0.2180 Tl
0.9467 0.3422 0.2180 Tl
0.6397 0.6397 0.3883 Pt

=====

# 12
YTl3Pt GGA-PBE optimized geometry; magnetization = 0.000 μB/f.u.; final energy = -2.8683 eV per atom; Fermi-level density of states = 6.440 states/eV/cell; formation energy from the elements = 1.05 eV per atom; ΔE to the lowest computed polymorph = 920 meV/atom
1.0
5.8128 0.0000 0.0000
0.0000 5.8128 0.0000
0.0000 0.0000 5.8128
Y Tl Pt
1 3 1
Direct
0.0000 0.0000 0.0000 Y
0.0000 0.0000 0.5000 Tl
0.0000 0.5000 0.0000 Tl
0.5000 0.0000 0.0000 Tl
0.5000 0.5000 0.5000 Pt